Entry 1:
Crystalline Na2H18SO9 at its relaxed geometry, computed with PBE-GGA.

Cell lengths 9.3298, 9.3298, 12.7056 Å; angles 90.00, 90.00, 90.00 degrees
Space group P4_322 (No. 95)
Inequivalent atoms, fractional coordinates:
1 Na 0.0000 0.1419 0.0000 x4
2 Na 0.3106 0.5000 0.7500 x4
3 H 0.0266 0.4718 0.6538 x8
4 H 0.0304 0.2784 0.2165 x8
5 H 0.1204 0.2016 0.7887 x8
6 H 0.1352 0.4490 0.9255 x8
7 H 0.1818 0.3477 0.5283 x8
8 H 0.1842 0.3804 0.0889 x8
9 H 0.2083 0.3535 0.4055 x8
10 H 0.2825 0.2901 0.0116 x8
11 H 0.4009 0.4964 0.1622 x8
12 S 0.1835 0.5000 0.2500 x4
13 O 0.0158 0.1871 0.8022 x8
14 O 0.1237 0.4664 0.6222 x8
15 O 0.1838 0.3299 0.0199 x8
16 O 0.2340 0.2990 0.4696 x8
17 O 0.4946 0.4946 0.1250 x4

Results
The value obtained for the energy is -4.791 eV per atom. As for the volume: 1106.0 Å³/cell. Its crystal system is tetragonal. For the spin magnetization, the calculation gives 0.498 μB/cell.


Entry 2:
Crystalline Tl2BiCl at its relaxed geometry, computed with PBE-GGA.

Cell lengths 6.6410, 6.6410, 15.9930 Å; angles 90.00, 90.00, 90.00 degrees
Space group I-42d (No. 122)
Inequivalent atoms, fractional coordinates:
1 Tl 0.2400 0.2500 0.1250 x8
2 Bi 0.0000 0.0000 0.5000 x4
3 Cl 0.0000 0.0000 0.0000 x4

Results
As for the volume: 705.3 Å³/cell. The calculation puts the formation energy from raw total energies at -164 meV/atom. Its crystal system is tetragonal. For the spin magnetization, the calculation gives 0.000 μB/cell.


Entry 3:
Crystalline Tc3NiOs at its relaxed geometry, computed with PBE-GGA.

Cell lengths 4.6495, 4.6495, 4.6495 Å; angles 90.00, 90.00, 90.00 degrees
Space group Pm-3m (No. 221)
Inequivalent atoms, fractional coordinates:
1 Tc 0.0000 0.0000 0.5000 x3
2 Ni 0.5000 0.5000 0.5000 x1
3 Os 0.0000 0.0000 0.0000 x1

Results
As for the volume: 100.5 Å³/cell. The formation energy comes out at 1.9953 eV per atom. Its crystal system is cubic. For the spin magnetization, the calculation gives 0.001 μB/cell.


Entry 4:
Crystalline La2TlCoSn at its relaxed geometry, computed with PBE-GGA.

Cell lengths 5.3034, 5.3034, 4.9416 Å; angles 90.00, 90.00, 90.00 degrees
Space group P4/mmm (No. 123)
Inequivalent atoms, fractional coordinates:
1 La 0.0000 0.5000 0.0000 x2
2 Tl 0.0000 0.0000 0.5000 x1
3 Co 0.5000 0.5000 0.0000 x1
4 Sn 0.5000 0.5000 0.5000 x1

Results
As for the volume: 139.0 Å³/cell. The formation energy comes out at -0.4300 eV per atom. Its crystal system is tetragonal. For the spin magnetization, the calculation gives 0.000 μB/cell.